An optimized crystal structure of TbSi3OsRh. Source: Alexandria, functional GGA-PBE.

a b c (Å): 5.4894 6.1648 7.5569
angles (deg): 114.07 90.00 90.00
Fractional coordinates of all 12 atoms:
Tb1 0.7500 0.1820 0.3640
Tb2 0.2500 0.8180 0.6360
Si1 0.2500 0.2321 0.4642
Si2 0.0000 0.2872 0.0000
Si3 0.5000 0.7128 0.0000
Si4 0.5000 0.2872 0.0000
Si5 0.0000 0.7128 0.0000
Si6 0.7500 0.7679 0.5358
Os1 0.2500 0.0687 0.1374
Os2 0.7500 0.9313 0.8626
Rh1 0.2500 0.3939 0.7877
Rh2 0.7500 0.6061 0.2123

The volume comes out at 233.5 Å³ per cell. The calculated total energy comes out at -7.033 eV/atom. The value obtained for the formation energy from raw total energies is -453 meV per atom.